# 1
DFT (GGA-PBE) results for an optimized crystal structure of AuBr2F.

Unit cell a=6.581 b=6.581 c=6.581 alpha=98.03 beta=98.03 gamma=136.09
Positions (direct):
Au (0.000, 0.000, 0.000)
Au (0.750, 0.250, 0.500)
Br (0.073, 0.625, 0.948)
Br (0.375, 0.323, 0.448)
Br (0.677, 0.125, 0.052)
Br (0.875, 0.927, 0.552)
F (0.250, 0.750, 0.500)
F (0.500, 0.500, 0.000)

Values from the calculation:
formation energy from raw total energies	-58.9	meV/atom
SG	No. 122
uncorrected energy	-17.460	eV per cell
energy above the lowest structure with this stoichiometry	0.2896	eV/atom

# 2
DFT (GGA-PBE) results for an optimized crystal structure of AuBrF.

Unit cell a=3.902 b=3.902 c=5.007 alpha=90.00 beta=90.00 gamma=120.00
Positions (direct):
Au (0.000, 0.000, 0.000)
Br (0.667, 0.333, 0.281)
F (0.333, 0.667, 0.816)

Values from the calculation:
formation energy from raw total energies	-306.3	meV/atom
SG	No. 156
uncorrected energy	-7.741	eV per cell
energy above the lowest structure with this stoichiometry	0.2231	eV/atom

# 3
DFT (GGA-PBE) results for an optimized crystal structure of AuBr3F.

Unit cell a=7.497 b=7.497 c=5.943 alpha=90.18 beta=90.18 gamma=110.84
Positions (direct):
Au (0.000, 0.000, 0.000)
Au (0.000, 0.000, 0.500)
Br (0.198, 0.802, 0.000)
Br (0.201, 0.799, 0.500)
Br (0.415, 0.415, 0.154)
Br (0.585, 0.585, 0.846)
Br (0.799, 0.201, 0.500)
Br (0.802, 0.198, 0.000)
F (0.234, 0.234, 0.512)
F (0.766, 0.766, 0.488)

Values from the calculation:
formation energy from raw total energies	-265.7	meV/atom
SG	No. 12
uncorrected energy	-22.992	eV per cell
energy above the lowest structure with this stoichiometry	0.0080	eV/atom

# 4
DFT (GGA-PBE) results for an optimized crystal structure of AuBr3F.

Unit cell a=5.227 b=5.227 c=5.227 alpha=90.00 beta=90.00 gamma=90.00
Positions (direct):
Au (0.000, 0.000, 0.000)
Br (0.000, 0.000, 0.500)
Br (0.000, 0.500, 0.000)
Br (0.500, 0.000, 0.000)
F (0.500, 0.500, 0.500)

Values from the calculation:
formation energy from raw total energies	193.0	meV/atom
SG	No. 221
uncorrected energy	-9.202	eV per cell
energy above the lowest structure with this stoichiometry	0.4667	eV/atom

# 5
DFT (GGA-PBE) results for an optimized crystal structure of AuBr2F.

Unit cell a=7.451 b=7.451 c=3.661 alpha=90.77 beta=90.77 gamma=33.52
Positions (direct):
Au (0.000, 0.000, 0.000)
Br (0.131, 0.131, 0.507)
Br (0.828, 0.828, 0.991)
F (0.499, 0.499, 0.000)

Values from the calculation:
formation energy from raw total energies	-244.5	meV/atom
SG	No. 8
uncorrected energy	-9.472	eV per cell
energy above the lowest structure with this stoichiometry	0.1041	eV/atom

# 6
DFT (GGA-PBE) results for an optimized crystal structure of Au5Br12F3.

Unit cell a=14.632 b=14.632 c=14.632 alpha=109.47 beta=109.47 gamma=109.47
Positions (direct):
Au (0.000, 0.000, 0.000)
Au (0.000, 0.000, 0.500)
Au (0.000, 0.500, 0.000)
Au (0.000, 0.500, 0.500)
Au (0.125, 0.750, 0.875)
Au (0.125, 0.875, 0.250)
Au (0.250, 0.125, 0.875)
Au (0.250, 0.625, 0.375)
Au (0.375, 0.250, 0.625)
Au (0.375, 0.625, 0.750)
Au (0.500, 0.000, 0.000)
Au (0.500, 0.000, 0.500)
Au (0.500, 0.500, 0.000)
Au (0.500, 0.500, 0.500)
Au (0.625, 0.375, 0.250)
Au (0.625, 0.750, 0.375)
Au (0.750, 0.375, 0.625)
Au (0.750, 0.875, 0.125)
Au (0.875, 0.125, 0.750)
Au (0.875, 0.250, 0.125)
Br (0.000, 0.156, 0.153)
Br (0.000, 0.344, 0.847)
Br (0.000, 0.656, 0.153)
Br (0.000, 0.844, 0.847)
Br (0.003, 0.656, 0.656)
Br (0.003, 0.847, 0.347)
Br (0.153, 0.000, 0.156)
Br (0.153, 0.000, 0.656)
Br (0.153, 0.653, 0.497)
Br (0.153, 0.653, 0.997)
Br (0.156, 0.153, 0.000)
Br (0.156, 0.156, 0.503)
Br (0.156, 0.500, 0.653)
Br (0.156, 0.503, 0.156)
Br (0.344, 0.344, 0.997)
Br (0.344, 0.500, 0.347)
Br (0.344, 0.847, 0.000)
Br (0.344, 0.997, 0.344)
Br (0.347, 0.003, 0.847)
Br (0.347, 0.344, 0.500)
Br (0.347, 0.503, 0.847)
Br (0.347, 0.844, 0.500)
Br (0.497, 0.153, 0.653)
Br (0.497, 0.844, 0.844)
Br (0.500, 0.347, 0.344)
Br (0.500, 0.347, 0.844)
Br (0.500, 0.653, 0.156)
Br (0.500, 0.653, 0.656)
Br (0.503, 0.156, 0.156)
Br (0.503, 0.847, 0.347)
Br (0.653, 0.156, 0.500)
Br (0.653, 0.497, 0.153)
Br (0.653, 0.656, 0.500)
Br (0.653, 0.997, 0.153)
Br (0.656, 0.003, 0.656)
Br (0.656, 0.153, 0.000)
Br (0.656, 0.500, 0.653)
Br (0.656, 0.656, 0.003)
Br (0.844, 0.497, 0.844)
Br (0.844, 0.500, 0.347)
Br (0.844, 0.844, 0.497)
Br (0.844, 0.847, 0.000)
Br (0.847, 0.000, 0.344)
Br (0.847, 0.000, 0.844)
Br (0.847, 0.347, 0.003)
Br (0.847, 0.347, 0.503)
Br (0.997, 0.153, 0.653)
Br (0.997, 0.344, 0.344)
F (0.125, 0.250, 0.375)
F (0.125, 0.375, 0.750)
F (0.250, 0.375, 0.125)
F (0.250, 0.875, 0.625)
F (0.375, 0.125, 0.250)
F (0.375, 0.750, 0.125)
F (0.625, 0.250, 0.875)
F (0.625, 0.875, 0.750)
F (0.750, 0.125, 0.375)
F (0.750, 0.625, 0.875)
F (0.875, 0.625, 0.250)
F (0.875, 0.750, 0.625)

Values from the calculation:
formation energy from raw total energies	41.6	meV/atom
SG	No. 230
uncorrected energy	-164.977	eV per cell

# 7
DFT (GGA-PBE) results for an optimized crystal structure of AuBrF.

Unit cell a=5.115 b=10.033 c=6.697 alpha=90.00 beta=108.31 gamma=90.00
Positions (direct):
Au (0.250, 0.001, 0.249)
Au (0.250, 0.499, 0.749)
Au (0.750, 0.501, 0.251)
Au (0.750, 0.999, 0.751)
Br (0.164, 0.642, 0.426)
Br (0.164, 0.858, 0.926)
Br (0.836, 0.142, 0.074)
Br (0.836, 0.358, 0.574)
F (0.385, 0.099, 0.552)
F (0.385, 0.401, 0.052)
F (0.615, 0.599, 0.948)
F (0.615, 0.901, 0.448)

Values from the calculation:
formation energy from raw total energies	-513.0	meV/atom
SG	No. 14
uncorrected energy	-33.442	eV per cell
energy above the lowest structure with this stoichiometry	0.0165	eV/atom

# 8
DFT (GGA-PBE) results for an optimized crystal structure of AuBr3F.

Unit cell a=10.256 b=6.258 c=12.440 alpha=90.00 beta=125.34 gamma=90.00
Positions (direct):
Au (0.247, 0.115, 0.181)
Au (0.247, 0.385, 0.681)
Au (0.753, 0.615, 0.319)
Au (0.753, 0.885, 0.819)
Br (0.246, 0.731, 0.774)
Br (0.246, 0.769, 0.274)
Br (0.251, 0.037, 0.586)
Br (0.251, 0.463, 0.086)
Br (0.252, 0.213, 0.858)
Br (0.252, 0.287, 0.358)
Br (0.748, 0.713, 0.642)
Br (0.748, 0.787, 0.142)
Br (0.749, 0.537, 0.914)
Br (0.749, 0.963, 0.414)
Br (0.754, 0.231, 0.726)
Br (0.754, 0.269, 0.226)
F (0.240, 0.538, 0.534)
F (0.240, 0.962, 0.034)
F (0.760, 0.038, 0.966)
F (0.760, 0.462, 0.466)

Values from the calculation:
formation energy from raw total energies	-273.7	meV/atom
SG	No. 14
uncorrected energy	-46.143	eV per cell
energy above the lowest structure with this stoichiometry	0.0000	eV/atom

# 9
DFT (GGA-PBE) results for an optimized crystal structure of AuBr2F.

Unit cell a=3.903 b=4.385 c=6.354 alpha=91.72 beta=107.33 gamma=90.01
Positions (direct):
Au (0.000, 0.000, 0.000)
Br (0.353, 0.993, 0.708)
Br (0.647, 0.007, 0.292)
F (0.000, 0.500, 0.000)

Values from the calculation:
formation energy from raw total energies	-348.6	meV/atom
SG	No. 2
uncorrected energy	-9.889	eV per cell
energy above the lowest structure with this stoichiometry	0.0000	eV/atom

# 10
DFT (GGA-PBE) results for an optimized crystal structure of AuBr2F4.

Unit cell a=10.041 b=10.041 c=10.041 alpha=156.35 beta=156.35 gamma=33.69
Positions (direct):
Au (0.000, 0.000, 0.000)
Br (0.253, 0.253, 0.000)
Br (0.747, 0.747, 0.000)
F (0.000, 0.500, 0.500)
F (0.102, 0.102, 0.000)
F (0.500, 0.000, 0.500)
F (0.898, 0.898, 0.000)

Values from the calculation:
formation energy from raw total energies	-583.7	meV/atom
SG	No. 139
uncorrected energy	-18.195	eV per cell

# 11
DFT (GGA-PBE) results for an optimized crystal structure of AuBr2F8.

Unit cell a=6.947 b=6.947 c=6.435 alpha=109.49 beta=109.49 gamma=46.50
Positions (direct):
Au (0.000, 0.000, 0.000)
Br (0.272, 0.272, 0.596)
Br (0.728, 0.728, 0.404)
F (0.124, 0.640, 0.955)
F (0.129, 0.129, 0.606)
F (0.360, 0.876, 0.045)
F (0.408, 0.408, 0.556)
F (0.592, 0.592, 0.444)
F (0.640, 0.124, 0.955)
F (0.871, 0.871, 0.394)
F (0.876, 0.360, 0.045)

Values from the calculation:
formation energy from raw total energies	-783.6	meV/atom
SG	No. 12
uncorrected energy	-30.213	eV per cell

# 12
DFT (GGA-PBE) results for an optimized crystal structure of AuBrF3.

Unit cell a=4.471 b=4.471 c=4.471 alpha=90.00 beta=90.00 gamma=90.00
Positions (direct):
Au (0.000, 0.000, 0.000)
Br (0.500, 0.500, 0.500)
F (0.000, 0.500, 0.500)
F (0.500, 0.000, 0.500)
F (0.500, 0.500, 0.000)

Values from the calculation:
formation energy from raw total energies	-86.2	meV/atom
SG	No. 221
uncorrected energy	-10.995	eV per cell
energy above the lowest structure with this stoichiometry	0.6345	eV/atom

Please write out number 11 again, unchanged.
DFT (GGA-PBE) results for an optimized crystal structure of AuBr2F8.

Unit cell a=6.947 b=6.947 c=6.435 alpha=109.49 beta=109.49 gamma=46.50
Positions (direct):
Au (0.000, 0.000, 0.000)
Br (0.272, 0.272, 0.596)
Br (0.728, 0.728, 0.404)
F (0.124, 0.640, 0.955)
F (0.129, 0.129, 0.606)
F (0.360, 0.876, 0.045)
F (0.408, 0.408, 0.556)
F (0.592, 0.592, 0.444)
F (0.640, 0.124, 0.955)
F (0.871, 0.871, 0.394)
F (0.876, 0.360, 0.045)

Values from the calculation:
formation energy from raw total energies	-783.6	meV/atom
SG	No. 12
uncorrected energy	-30.213	eV per cell

Please write out number 12 again, unchanged.
DFT (GGA-PBE) results for an optimized crystal structure of AuBrF3.

Unit cell a=4.471 b=4.471 c=4.471 alpha=90.00 beta=90.00 gamma=90.00
Positions (direct):
Au (0.000, 0.000, 0.000)
Br (0.500, 0.500, 0.500)
F (0.000, 0.500, 0.500)
F (0.500, 0.000, 0.500)
F (0.500, 0.500, 0.000)

Values from the calculation:
formation energy from raw total energies	-86.2	meV/atom
SG	No. 221
uncorrected energy	-10.995	eV per cell
energy above the lowest structure with this stoichiometry	0.6345	eV/atom

Q: formation energy from raw total energies of number 8 (AuBr3F)?
A: -273.7 meV/atom